DFT (GGA+U) results for crystalline MnCd2HO4 at its relaxed geometry.

Computed properties:
Symmetry: P2/m
Total magnetic moment: 0.50 μB/atom
VASP energy: -39.67 eV per cell

Cell: 3.468 5.512 5.105 Å, 88.78 90.00 90.00°
Each line ends with the local moment (μB).
Fractional coordinates of all 8 atoms:
O (0.500, 0.627, 0.213)  -0.05
O (0.000, 0.797, 0.667)  -0.02
O (0.000, 0.203, 0.333)  -0.02
O (0.500, 0.373, 0.787)  -0.05
Mn (0.000, 0.500, 0.500)  3.99
Cd (0.000, 0.000, 0.000)  0.01
Cd (0.500, 0.000, 0.500)  0.01
H (0.500, 0.500, 0.000)  0.00